# Pm2Ge3Rh5

A relaxed Pm2Ge3Rh5 crystal (PBE-GGA, Alexandria via LeMat-Bulk).

Cell: 4.182 6.729 12.622 Å, 90.00 99.54 90.00°
Fractional coordinates of all 20 atoms:
Ge 0.229 0.232 0.458
Ge 0.612 0.500 0.225
Ge 0.949 0.461 0.898
Ge 0.771 0.732 0.542
Ge 0.051 0.961 0.102
Ge 0.388 0.000 0.775
Pm 0.175 0.742 0.350
Pm 0.518 0.251 0.036
Pm 0.482 0.751 0.964
Pm 0.825 0.242 0.650
Rh 0.709 0.435 0.419
Rh 0.059 0.588 0.117
Rh 0.130 0.222 0.260
Rh 0.398 0.407 0.797
Rh 0.602 0.907 0.203
Rh 0.941 0.088 0.883
Rh 0.292 0.526 0.583
Rh 0.870 0.722 0.740
Rh 0.708 0.026 0.417
Rh 0.291 0.935 0.581

Calculated values
As for the crystal system: orthorhombic. Its energy above the most stable polymorph in this dataset is 0.041 eV per atom. The calculation puts the raw total energy at -0.495 Ry per atom.